{"formula": "Dy2TmMg5", "functional": "PBE", "state": "relaxed", "lattice": [[5.232, 0.000, 0.000], [0.000, 5.232, 0.000], [-2.616, -2.616, 7.559]], "species": ["Mg", "Mg", "Mg", "Mg", "Mg", "Tm", "Dy", "Dy"], "frac_coords": [[0.382, 0.882, 0.763], [0.882, 0.382, 0.763], [0.618, 0.118, 0.237], [0.118, 0.618, 0.237], [0.500, 0.500, 0.000], [0.000, 0.000, 0.000], [0.745, 0.745, 0.490], [0.255, 0.255, 0.510]], "dos_ef_per_ev_atom": 0.843, "e_tot_ev_per_cell": -22.10}


{"formula": "Dy5TmMg4", "functional": "PBE", "state": "relaxed", "lattice": [[3.720, 0.000, 0.000], [0.000, 3.720, 0.000], [0.000, 0.000, 20.198]], "species": ["Dy", "Dy", "Dy", "Dy", "Dy", "Mg", "Mg", "Mg", "Mg", "Tm"], "frac_coords": [[0.500, 0.500, 0.500], [0.500, 0.500, 0.691], [0.500, 0.500, 0.885], [0.500, 0.500, 0.115], [0.500, 0.500, 0.309], [0.000, 0.000, 0.213], [0.000, 0.000, 0.404], [0.000, 0.000, 0.787], [0.000, 0.000, 0.596], [0.000, 0.000, 0.000]], "dos_ef_per_ev_atom": 1.391, "e_tot_ev_per_cell": -34.38}


{"formula": "Dy4Tm3Mg2", "functional": "PBE", "state": "relaxed", "lattice": [[4.899, 0.000, 0.000], [0.000, 7.712, 0.657], [-2.450, -2.926, 6.747]], "species": ["Dy", "Dy", "Dy", "Dy", "Tm", "Tm", "Tm", "Mg", "Mg"], "frac_coords": [[0.778, 0.670, 0.557], [0.222, 0.330, 0.443], [0.445, 0.666, 0.890], [0.555, 0.334, 0.110], [0.889, 0.333, 0.778], [0.000, 0.000, 0.000], [0.111, 0.667, 0.222], [0.331, 0.001, 0.662], [0.669, 0.999, 0.338]], "dos_ef_per_ev_atom": 1.267, "e_tot_ev_per_cell": -34.93}


{"formula": "Dy3Tm3Mg2", "functional": "PBE", "state": "relaxed", "lattice": [[5.273, 0.000, 0.000], [-2.637, 5.788, 0.000], [0.000, 0.000, 15.480]], "species": ["Mg", "Mg", "Mg", "Mg", "Tm", "Tm", "Tm", "Tm", "Tm", "Tm", "Dy", "Dy", "Dy", "Dy", "Dy", "Dy"], "frac_coords": [[0.214, 0.429, 0.353], [0.786, 0.571, 0.853], [0.214, 0.429, 0.147], [0.786, 0.571, 0.647], [0.748, 0.496, 0.250], [0.950, 0.899, 0.100], [0.950, 0.899, 0.400], [0.050, 0.101, 0.900], [0.050, 0.101, 0.600], [0.252, 0.504, 0.750], [0.645, 0.290, 0.031], [0.355, 0.710, 0.531], [0.466, 0.931, 0.250], [0.645, 0.290, 0.469], [0.355, 0.710, 0.969], [0.534, 0.069, 0.750]], "dos_ef_per_ev_atom": 1.616, "e_tot_ev_per_cell": -59.44}


{"formula": "DyTm2Mg3", "functional": "PBE", "state": "relaxed", "lattice": [[-0.732, -2.497, 2.722], [3.280, -1.715, -0.692], [5.086, 6.699, 7.514]], "species": ["Tm", "Tm", "Mg", "Mg", "Mg", "Dy"], "frac_coords": [[0.500, 0.500, 0.166], [0.500, 0.500, 0.834], [0.000, 0.000, 0.331], [0.000, 0.000, 0.000], [0.000, 0.000, 0.669], [0.500, 0.500, 0.500]], "dos_ef_per_ev_atom": 1.436, "e_tot_ev_per_cell": -18.71}


{"formula": "DyTmMg3", "functional": "PBE", "state": "relaxed", "lattice": [[-2.737, -1.833, 0.278], [0.852, -0.501, 5.084], [-6.877, 13.628, 2.495]], "species": ["Dy", "Dy", "Mg", "Mg", "Mg", "Mg", "Mg", "Mg", "Tm", "Tm"], "frac_coords": [[0.926, 0.750, 0.851], [0.074, 0.250, 0.149], [0.623, 0.750, 0.246], [0.674, 0.250, 0.348], [0.377, 0.250, 0.754], [0.524, 0.750, 0.049], [0.326, 0.750, 0.652], [0.476, 0.250, 0.951], [0.780, 0.250, 0.560], [0.220, 0.750, 0.440]], "dos_ef_per_ev_atom": 0.816, "e_tot_ev_per_cell": -28.20}


{"formula": "Dy6TmMg5", "functional": "PBE", "state": "relaxed", "lattice": [[-2.073, -4.291, 2.475], [-0.971, -3.438, -6.773], [8.456, -1.094, -0.656]], "species": ["Dy", "Dy", "Dy", "Dy", "Dy", "Dy", "Mg", "Mg", "Mg", "Mg", "Mg", "Tm"], "frac_coords": [[0.167, 0.252, 0.339], [0.833, 0.252, 0.661], [0.833, 0.748, 0.661], [0.167, 0.748, 0.339], [0.500, 0.259, 0.000], [0.500, 0.741, 0.000], [0.000, 0.500, 0.000], [0.340, 0.000, 0.675], [0.337, 0.500, 0.665], [0.660, 0.000, 0.325], [0.663, 0.500, 0.335], [0.000, 0.000, 0.000]], "dos_ef_per_ev_atom": 1.201, "e_tot_ev_per_cell": -40.43}


{"formula": "DyTm3Mg4", "functional": "PBE", "state": "relaxed", "lattice": [[3.758, 0.000, 0.000], [0.000, 3.758, 0.000], [0.000, 0.000, 15.078]], "species": ["Mg", "Mg", "Mg", "Mg", "Tm", "Tm", "Tm", "Dy"], "frac_coords": [[0.000, 0.000, 0.127], [0.000, 0.000, 0.375], [0.000, 0.000, 0.873], [0.000, 0.000, 0.625], [0.500, 0.500, 0.500], [0.500, 0.500, 0.251], [0.500, 0.500, 0.749], [0.500, 0.500, 0.000]], "dos_ef_per_ev_atom": 1.286, "e_tot_ev_per_cell": -24.92}


{"formula": "Dy2Tm3Mg", "functional": "PBE", "state": "relaxed", "lattice": [[-3.857, 6.356, -0.770], [-1.036, -0.164, -7.401], [-2.025, -9.213, 2.127]], "species": ["Dy", "Dy", "Dy", "Dy", "Tm", "Tm", "Tm", "Tm", "Tm", "Tm", "Mg", "Mg"], "frac_coords": [[0.703, 0.070, 0.307], [0.263, 0.396, 0.193], [0.737, 0.604, 0.807], [0.297, 0.930, 0.693], [0.686, 0.288, 0.013], [0.314, 0.712, 0.987], [0.800, 0.050, 0.750], [0.200, 0.950, 0.250], [0.774, 0.673, 0.487], [0.226, 0.327, 0.513], [0.072, 0.322, 0.750], [0.928, 0.678, 0.250]], "dos_ef_per_ev_atom": 1.250, "e_tot_ev_per_cell": -46.72}


{"formula": "Dy2Tm3Mg", "functional": "PBE", "state": "relaxed", "lattice": [[-0.465, -2.888, 1.586], [5.524, -1.813, -1.682], [1.058, 6.053, 7.843]], "species": ["Dy", "Dy", "Tm", "Tm", "Tm", "Mg"], "frac_coords": [[0.346, 0.346, 0.692], [0.654, 0.654, 0.308], [0.829, 0.829, 0.658], [0.000, 0.500, 0.000], [0.171, 0.171, 0.342], [0.000, 0.000, 0.000]], "dos_ef_per_ev_atom": 1.678, "e_tot_ev_per_cell": -21.71}


{"formula": "Dy2Tm4Mg", "functional": "PBE", "state": "relaxed", "lattice": [[5.935, 0.000, -0.336], [0.000, 6.448, 0.000], [-2.333, 0.000, 11.065]], "species": ["Mg", "Mg", "Dy", "Dy", "Dy", "Dy", "Tm", "Tm", "Tm", "Tm", "Tm", "Tm", "Tm", "Tm"], "frac_coords": [[0.158, 0.750, 0.166], [0.842, 0.250, 0.834], [0.607, 0.750, 0.004], [0.393, 0.250, 0.996], [0.279, 0.250, 0.423], [0.721, 0.750, 0.577], [0.355, 0.998, 0.712], [0.645, 0.498, 0.288], [0.853, 0.250, 0.560], [0.028, 0.750, 0.874], [0.972, 0.250, 0.126], [0.147, 0.750, 0.440], [0.355, 0.502, 0.712], [0.645, 0.002, 0.288]], "dos_ef_per_ev_atom": 1.393, "e_tot_ev_per_cell": -55.81}


{"formula": "DyTm2Mg7", "functional": "PBE", "state": "relaxed", "lattice": [[-0.861, 2.344, -2.213], [-2.932, -5.291, -4.464], [-8.197, 3.797, 7.213]], "species": ["Dy", "Mg", "Mg", "Mg", "Mg", "Mg", "Mg", "Mg", "Tm", "Tm"], "frac_coords": [[0.000, 0.000, 0.000], [0.500, 0.313, 0.248], [0.500, 0.065, 0.752], [0.000, 0.388, 0.777], [0.000, 0.612, 0.223], [0.500, 0.500, 0.000], [0.500, 0.687, 0.752], [0.500, 0.935, 0.248], [0.500, 0.261, 0.521], [0.500, 0.739, 0.479]], "dos_ef_per_ev_atom": 0.936, "e_tot_ev_per_cell": -22.38}


{"formula": "Dy3Tm7Mg2", "functional": "PBE", "state": "relaxed", "lattice": [[-0.459, -3.400, -0.590], [3.284, -1.217, 4.458], [-17.325, 1.060, 7.362]], "species": ["Tm", "Tm", "Tm", "Tm", "Tm", "Tm", "Tm", "Mg", "Mg", "Dy", "Dy", "Dy"], "frac_coords": [[0.500, 0.982, 0.168], [0.000, 0.464, 0.147], [0.000, 0.000, 0.000], [0.500, 0.018, 0.832], [0.000, 0.536, 0.853], [0.500, 0.281, 0.540], [0.500, 0.719, 0.460], [0.500, 0.590, 0.292], [0.500, 0.410, 0.708], [0.000, 0.148, 0.370], [0.000, 0.852, 0.630], [0.500, 0.500, 0.000]], "dos_ef_per_ev_atom": 1.181, "e_tot_ev_per_cell": -47.15}


{"formula": "Dy4TmMg2", "functional": "PBE", "state": "relaxed", "lattice": [[-1.260, -3.637, 3.822], [3.916, -2.219, 3.028], [0.089, 3.948, 7.636]], "species": ["Dy", "Dy", "Dy", "Dy", "Tm", "Mg", "Mg"], "frac_coords": [[0.207, 0.207, 0.380], [0.932, 0.932, 0.205], [0.793, 0.793, 0.620], [0.068, 0.068, 0.795], [0.500, 0.500, 0.500], [0.649, 0.649, 0.054], [0.351, 0.351, 0.946]], "dos_ef_per_ev_atom": 1.394, "e_tot_ev_per_cell": -25.60}


{"formula": "Dy12Tm2Mg", "functional": "PBE", "state": "relaxed", "lattice": [[6.437, 1.520, 0.282], [1.520, 6.437, -0.282], [1.345, -1.345, 24.065]], "species": ["Mg", "Mg", "Dy", "Dy", "Dy", "Dy", "Dy", "Dy", "Dy", "Dy", "Dy", "Dy", "Dy", "Dy", "Dy", "Dy", "Dy", "Dy", "Dy", "Dy", "Dy", "Dy", "Dy", "Dy", "Dy", "Dy", "Tm", "Tm", "Tm", "Tm"], "frac_coords": [[0.957, 0.543, 0.017], [0.543, 0.957, 0.983], [0.539, 0.481, 0.674], [0.268, 0.232, 0.108], [0.855, 0.167, 0.557], [0.019, 0.961, 0.674], [0.394, 0.654, 0.066], [0.232, 0.268, 0.892], [0.749, 0.751, 0.153], [0.940, 0.127, 0.805], [0.846, 0.106, 0.066], [0.961, 0.019, 0.326], [0.373, 0.560, 0.805], [0.127, 0.940, 0.195], [0.167, 0.855, 0.443], [0.560, 0.373, 0.195], [0.481, 0.539, 0.326], [0.654, 0.394, 0.934], [0.151, 0.349, 0.428], [0.106, 0.846, 0.934], [0.645, 0.333, 0.443], [0.751, 0.749, 0.847], [0.823, 0.677, 0.580], [0.677, 0.823, 0.420], [0.333, 0.645, 0.557], [0.349, 0.151, 0.572], [0.490, 0.010, 0.733], [0.484, 0.016, 0.289], [0.016, 0.484, 0.711], [0.010, 0.490, 0.267]], "dos_ef_per_ev_atom": 1.255, "e_tot_ev_per_cell": -128.38}


{"formula": "Dy2Tm2Mg5", "functional": "PBE", "state": "relaxed", "lattice": [[-5.321, 8.074, -5.667], [-1.499, -4.153, -4.509], [-2.496, -3.488, 8.458]], "species": ["Mg", "Mg", "Mg", "Mg", "Mg", "Mg", "Mg", "Mg", "Mg", "Mg", "Dy", "Dy", "Dy", "Dy", "Tm", "Tm", "Tm", "Tm"], "frac_coords": [[0.986, 0.179, 0.500], [0.386, 0.984, 0.290], [0.188, 0.189, 0.882], [0.597, 0.195, 0.710], [0.614, 0.695, 0.710], [0.403, 0.484, 0.290], [0.194, 0.689, 0.882], [0.812, 0.307, 0.118], [0.806, 0.807, 0.118], [0.014, 0.679, 0.500], [0.260, 0.340, 0.500], [0.740, 0.840, 0.500], [0.500, 0.527, 0.000], [0.000, 0.027, 0.000], [0.874, 0.434, 0.753], [0.380, 0.934, 0.753], [0.620, 0.180, 0.247], [0.126, 0.680, 0.247]], "dos_ef_per_ev_atom": 0.909, "e_tot_ev_per_cell": -50.66}


{"formula": "Dy3Tm3Mg", "functional": "PBE", "state": "relaxed", "lattice": [[-0.830, -4.264, -3.489], [1.767, -5.991, 6.902], [-8.710, 2.932, -1.512]], "species": ["Dy", "Dy", "Dy", "Dy", "Dy", "Dy", "Tm", "Tm", "Tm", "Tm", "Tm", "Tm", "Mg", "Mg"], "frac_coords": [[0.250, 0.243, 0.185], [0.250, 0.943, 0.758], [0.250, 0.814, 0.057], [0.750, 0.757, 0.815], [0.750, 0.186, 0.943], [0.750, 0.057, 0.242], [0.250, 0.102, 0.478], [0.750, 0.624, 0.103], [0.750, 0.898, 0.522], [0.250, 0.376, 0.897], [0.250, 0.522, 0.624], [0.750, 0.478, 0.376], [0.250, 0.667, 0.333], [0.750, 0.333, 0.667]], "dos_ef_per_ev_atom": 1.672, "e_tot_ev_per_cell": -57.35}


{"formula": "Dy3TmMg8", "functional": "PBE", "state": "relaxed", "lattice": [[-1.648, 1.196, -5.702], [-1.144, -5.438, 2.405], [-8.627, 3.217, 3.169]], "species": ["Mg", "Mg", "Mg", "Mg", "Mg", "Mg", "Mg", "Mg", "Dy", "Dy", "Dy", "Tm"], "frac_coords": [[0.162, 0.838, 0.250], [0.504, 0.008, 0.750], [0.992, 0.496, 0.750], [0.333, 0.667, 0.500], [0.675, 0.838, 0.250], [0.333, 0.667, 0.000], [0.162, 0.325, 0.250], [0.504, 0.496, 0.750], [0.667, 0.333, 0.065], [0.000, 0.000, 0.935], [0.667, 0.333, 0.437], [0.000, 0.000, 0.564]], "dos_ef_per_ev_atom": 1.092, "e_tot_ev_per_cell": -31.81}


{"formula": "Dy8Tm3Mg", "functional": "PBE", "state": "relaxed", "lattice": [[0.995, 3.978, -2.795], [-3.608, -4.686, -7.963], [-9.053, -1.610, -1.118]], "species": ["Dy", "Dy", "Dy", "Dy", "Dy", "Dy", "Dy", "Dy", "Tm", "Tm", "Tm", "Mg"], "frac_coords": [[0.584, 0.288, 0.169], [0.915, 0.958, 0.831], [0.418, 0.704, 0.835], [0.082, 0.038, 0.163], [0.250, 0.123, 0.499], [0.918, 0.454, 0.835], [0.083, 0.543, 0.166], [0.750, 0.871, 0.500], [0.750, 0.374, 0.500], [0.582, 0.790, 0.164], [0.417, 0.207, 0.834], [0.250, 0.621, 0.500]], "dos_ef_per_ev_atom": 1.452, "e_tot_ev_per_cell": -51.52}


{"formula": "Dy3Tm6Mg", "functional": "PBE", "state": "relaxed", "lattice": [[4.947, 0.000, 0.000], [0.000, 10.976, -0.158], [0.000, 0.111, 11.031]], "species": ["Dy", "Dy", "Dy", "Dy", "Dy", "Dy", "Tm", "Tm", "Tm", "Tm", "Tm", "Tm", "Tm", "Tm", "Tm", "Tm", "Tm", "Tm", "Mg", "Mg"], "frac_coords": [[0.750, 0.449, 0.600], [0.250, 0.348, 0.798], [0.250, 0.752, 0.002], [0.750, 0.652, 0.202], [0.750, 0.248, 0.998], [0.250, 0.551, 0.400], [0.250, 0.049, 0.900], [0.750, 0.347, 0.300], [0.750, 0.850, 0.802], [0.250, 0.853, 0.304], [0.750, 0.147, 0.696], [0.750, 0.951, 0.100], [0.250, 0.150, 0.198], [0.250, 0.653, 0.700], [0.750, 0.754, 0.501], [0.750, 0.552, 0.898], [0.250, 0.448, 0.102], [0.250, 0.246, 0.499], [0.750, 0.049, 0.400], [0.250, 0.951, 0.600]], "dos_ef_per_ev_atom": 1.325, "e_tot_ev_per_cell": -83.99}


no.,total magnetic moment (μB/atom)
1,0.0160
2,0.0000
3,0.0000
4,0.0000
5,0.0000
6,0.0000
7,0.0000
8,0.0000
9,0.0000
10,0.0003
11,0.0000
12,0.0350
13,0.0000
14,0.0000
15,0.0000
16,0.0000
17,0.0004
18,0.0000
19,0.0000
20,0.0000